Computed, not measured: a geometry-optimized Mg4InSiPt2 structure at the GGA-PBE level of DFT.

- space group = P-6m2
- total energy (eV/cell) = -30.8
- total magnetic moment (Bohr magnetons per cell) = 0.00

Unit cell a=4.4865 b=4.4865 c=8.5491 alpha=90.00 beta=90.00 gamma=120.00
Closest atoms and distances in Å follow each position.
Positions (direct):
In (0.0000, 0.0000, 0.0000)  3 Pt 2.59
Mg (0.6667, 0.3333, 0.1710)  4 Pt 2.81-2.97, 4 Mg 2.92-2.93, 3 In 2.97
Mg (0.3333, 0.6667, 0.3307)  4 Pt 2.83-2.97, 4 Mg 2.89-2.93, 3 Si 2.97
Mg (0.3333, 0.6667, 0.6693)  4 Pt 2.83-2.97, 4 Mg 2.89-2.93, 3 Si 2.97
Mg (0.6667, 0.3333, 0.8290)  4 Pt 2.81-2.97, 4 Mg 2.92-2.93, 3 In 2.97
Pt (0.3333, 0.6667, 0.0000)  3 In 2.59, 2 Mg 2.83
Pt (0.6667, 0.3333, 0.5000)  3 Si 2.59, 2 Mg 2.81
Si (0.0000, 0.0000, 0.5000)  3 Pt 2.59